[1]
SmScAg: relaxed, GGA-PBE.

Results
- E_form: 13.841 kcal/mol of atoms
- Crystal system: cubic
- Energy above the most stable polymorph in this dataset: 0.151 eV/atom

a = 6.867 Å, b = 6.867 Å, c = 6.867 Å
α = 90.00°, β = 90.00°, γ = 90.00°
Space group F-43m (No. 216)
Symmetry-distinct sites (fractional):
Sm: 0.000 0.000 0.000 [4 per cell]
Sc: 0.250 0.250 0.250 [4 per cell]
Ag: 0.250 0.250 0.750 [4 per cell]


[2]
Li2Mg2Ga2AgPd: relaxed, GGA-PBE.

Results
- Crystal system: tetragonal
- Final energy: -3.04 eV/atom

a = 4.481 Å, b = 4.481 Å, c = 6.366 Å
α = 90.00°, β = 90.00°, γ = 90.00°
Space group P-4m2 (No. 115)
Symmetry-distinct sites (fractional):
Li: 0.000 0.000 0.000 [1 per cell]
Li: 0.500 0.500 0.500 [1 per cell]
Mg: 0.000 0.500 0.243 [2 per cell]
Ga: 0.000 0.500 0.763 [2 per cell]
Ag: 0.000 0.000 0.500 [1 per cell]
Pd: 0.500 0.500 0.000 [1 per cell]


[3]
NiBPtW: relaxed, GGA-PBE.

Results
- Crystal system: cubic
- Energy above the most stable polymorph in this dataset: 0.000 eV/atom

a = 5.784 Å, b = 5.784 Å, c = 5.784 Å
α = 90.00°, β = 90.00°, γ = 90.00°
Space group F-43m (No. 216)
Symmetry-distinct sites (fractional):
Ni: 0.000 0.000 0.000 [4 per cell]
B: 0.000 0.000 0.500 [4 per cell]
Pt: 0.250 0.250 0.750 [4 per cell]
W: 0.250 0.250 0.250 [4 per cell]